# 1
Sc2AlFe (PBE, relaxed); total DFT energy (no corrections) = -6.248 eV per atom; N(E_F) = 0.61 states/eV per atom; space group = No. 166; crystal system = trigonal
1.0
-2.6651 5.4617 6.4139
-5.0624 3.4134 6.3869
-2.4498 2.7613 8.0278
Sc Fe Al
2 1 1
direct
0.0110 0.0110 0.0110
0.4890 0.4890 0.4890
0.7500 0.7500 0.7500
0.2500 0.2500 0.2500



# 2
LiCo2TcN (PBE, relaxed); ΔE_f (raw) = 27.4 meV per atom; total DFT energy (no corrections) = -6.936 eV per atom; N(E_F) = 0.80 states/eV per atom; space group = No. 123; crystal system = tetragonal
1.0
-2.7319 -1.6235 -2.0213
2.5207 -0.9766 -2.6224
0.6402 -3.4375 1.8956
Li Co Tc N
1 2 1 1
direct
0.5000 0.5000 0.5000
0.0000 0.5000 0.0000
0.5000 0.0000 0.0000
0.0000 0.0000 0.5000
0.0000 0.0000 0.0000



Q: N(E_F) of number 1 (Sc2AlFe)?
A: 0.61 states/eV per atom



Q: What is the formula in the second record?
A: LiCo2TcN



Q: Which value of N(E_F) does entry 2 give?
A: 0.80 states/eV per atom